1.
An optimized crystal structure of TbRe2Mo2, computed with PBE-GGA.

The calculation puts the energy relative to the lowest polymorph listed for this composition at 0.000 eV per atom. The formation energy comes out at 0.08 eV/atom. The electronic total energy is -10.154 eV/atom. Its volume is 19.74 Å³ per atom. The total magnetization comes out at 0.00 μB per atom.

a b c (Å): 4.3570 4.3570 6.0424
angles (deg): 111.13 111.13 90.00
Element x y z (fractional)
Re 0.6217 0.6217 0.2435
Re 0.3783 0.3783 0.7565
Mo 0.7500 0.2500 0.5000
Tb 0.0000 0.0000 0.0000
Mo 0.2500 0.7500 0.5000

***

2.
An optimized crystal structure of LaCuB, computed with PBE-GGA.

The calculation puts the energy relative to the lowest polymorph listed for this composition at 0.000 eV per atom. The electronic total energy is -4.572 eV/atom. Its volume is 19.54 Å³ per atom. The total magnetization comes out at 0.00 μB per atom.

a b c (Å): 4.3605 4.3605 4.3605
angles (deg): 60.00 60.00 60.00
Element x y z (fractional)
B 0.2500 0.2500 0.2500
La 0.7500 0.7500 0.7500
Cu 0.0000 0.0000 0.0000

***

3.
An optimized crystal structure of Sr3FeSe5, computed with PBE-GGA.

The electronic total energy is -4.763 eV/atom. Its volume is 27.53 Å³ per atom. The total magnetization comes out at 0.44 μB per atom.

a b c (Å): 11.9592 9.6080 8.6254
angles (deg): 90.00 90.00 90.00
Element x y z (fractional)
Fe 0.0964 0.7500 0.8092
Se 0.0545 0.9537 0.6804
Se 0.4455 0.4537 0.1804
Fe 0.4036 0.2500 0.3092
Se 0.0061 0.2500 0.9648
Se 0.5061 0.2500 0.5352
Sr 0.6818 0.0142 0.4091
Sr 0.5116 0.2500 0.9086
Sr 0.1818 0.4858 0.0909
Se 0.4455 0.0463 0.1804
Se 0.0545 0.5463 0.6804
Sr 0.6818 0.4858 0.4091
Sr 0.3182 0.9858 0.5909
Se 0.7863 0.7500 0.6368
Se 0.2137 0.2500 0.3632
Se 0.7400 0.7500 0.1764
Se 0.9455 0.0463 0.3196
Se 0.4939 0.7500 0.4648
Fe 0.9036 0.2500 0.1908
Se 0.5545 0.5463 0.8196
Sr 0.1818 0.0142 0.0909
Se 0.2400 0.7500 0.3236
Sr 0.9884 0.7500 0.4086
Se 0.5545 0.9537 0.8196
Se 0.9939 0.7500 0.0352
Sr 0.8182 0.5142 0.9091
Sr 0.0116 0.2500 0.5914
Sr 0.3182 0.5142 0.5909
Se 0.7600 0.2500 0.6764
Se 0.2863 0.7500 0.8632
Se 0.2600 0.2500 0.8236
Fe 0.5964 0.7500 0.6908
Se 0.9455 0.4537 0.3196
Sr 0.4884 0.7500 0.0914
Sr 0.8182 0.9858 0.9091
Se 0.7137 0.2500 0.1368

***

4.
An optimized crystal structure of DyHo2Tl2Zn3Cd, computed with PBE-GGA.

The electronic total energy is -2.873 eV/atom. Its volume is 22.74 Å³ per atom. The total magnetization comes out at 0.00 μB per atom.

a b c (Å): 4.5291 7.2290 7.2290
angles (deg): 120.13 90.00 90.00
Element x y z (fractional)
Ho 0.0000 0.9996 0.4298
Zn 0.5000 0.2313 0.2313
Ho 0.0000 0.4298 0.9996
Zn 0.5000 0.7691 0.9998
Tl 0.5000 0.3326 0.6668
Cd 0.0000 0.0011 0.0011
Zn 0.5000 0.9998 0.7691
Tl 0.5000 0.6668 0.3326
Dy 0.0000 0.5699 0.5699

***

5.
An optimized crystal structure of RbMoPb, computed with PBE-GGA.

The calculation puts the energy relative to the lowest polymorph listed for this composition at 0.000 eV per atom. The electronic total energy is -3.863 eV/atom. Its volume is 33.28 Å³ per atom. The total magnetization comes out at 1.00 μB per atom.

a b c (Å): 5.2072 5.2072 5.2072
angles (deg): 60.00 60.00 60.00
Element x y z (fractional)
Mo 0.0000 0.0000 0.0000
Pb 0.2500 0.2500 0.2500
Rb 0.7500 0.7500 0.7500

***

6.
An optimized crystal structure of TmPaAl, computed with PBE-GGA.

The calculation puts the energy relative to the lowest polymorph listed for this composition at 0.000 eV per atom. The electronic total energy is -5.560 eV/atom. Its volume is 27.31 Å³ per atom. The total magnetization comes out at 0.04 μB per atom.

a b c (Å): 4.8752 4.8752 4.8752
angles (deg): 60.00 60.00 60.00
Element x y z (fractional)
Pa 0.2500 0.2500 0.2500
Al 0.0000 0.0000 0.0000
Tm 0.7500 0.7500 0.7500